Run a
TiCd3S: relaxed, GGA-PBE.

The density of states at the Fermi level is 7.7 states/eV per cell. For the volume, the calculation gives 132.5 Å³ per cell.

It has space group Pm-3m (No. 221), with a = 5.098 Å, b = 5.098 Å, c = 5.098 Å, α = 90.00°, β = 90.00° and γ = 90.00°. The asymmetric unit holds Ti at (0.000, 0.000, 0.000), Cd at (0.000, 0.500, 0.500) and S at (0.500, 0.500, 0.500).

Run b
TiCd3S: relaxed, GGA-PBE.

The density of states at the Fermi level is 3.8 states/eV per cell. For the volume, the calculation gives 155.2 Å³ per cell.

It has space group Pm-3m (No. 221), with a = 5.374 Å, b = 5.374 Å, c = 5.374 Å, α = 90.00°, β = 90.00° and γ = 90.00°. The asymmetric unit holds Ti at (0.000, 0.000, 0.000), Cd at (0.000, 0.000, 0.500) and S at (0.500, 0.500, 0.500).

Stability, highest: run a